DFT (PBE-GGA) results for an optimized crystal structure of Sm2NpPaP4.

Lattice parameters (Å, degrees): 6.9633 4.0292 7.0144 90.00 109.45 90.00
Positions (direct):
Sm1 0.0000 0.0000 0.0000
Sm2 0.5000 0.5000 0.0000
Np1 0.0000 0.5000 0.5000
Pa1 0.5000 0.0000 0.5000
P1 0.2465 0.0000 0.7374
P2 0.2552 0.5000 0.2614
P3 0.7448 0.5000 0.7386
P4 0.7535 0.0000 0.2626

Results
- raw total energy (eV/atom) = -8.02
- size of the total moment (μB/f.u.) = 4.2
- symmetry = P2/m (10)
- Fermi-level density of states (states/eV per cell) = 12.42